First-principles (PBE+U) data for crystalline Ca6La2Mn7CrO24 at its relaxed geometry, as listed in Alexandria.

a b c (Å): 7.670 7.682 7.680
angles (deg): 89.49 89.94 89.97
Fractional coordinates of all 40 atoms:
Ca  0.751  0.276  0.270
O  0.462  0.461  0.751
O  0.749  0.528  0.958
Mn  0.000  0.000  0.500
O  0.750  0.470  0.538
Ca  0.249  0.724  0.730
O  0.750  0.014  0.447
O  0.953  0.038  0.745
O  0.977  0.750  0.541
Ca  0.248  0.731  0.223
Ca  0.750  0.763  0.269
O  0.524  0.750  0.539
O  0.963  0.542  0.250
O  0.047  0.962  0.255
O  0.745  0.948  0.030
Mn  0.500  0.500  0.500
Mn  0.500  0.000  0.500
O  0.542  0.249  0.043
O  0.476  0.250  0.461
O  0.250  0.986  0.553
Ca  0.752  0.269  0.777
O  0.039  0.745  0.956
La  0.249  0.230  0.240
O  0.250  0.530  0.462
O  0.458  0.751  0.957
O  0.961  0.255  0.044
Mn  0.000  0.500  0.500
Mn  0.500  0.500  0.000
O  0.255  0.052  0.970
La  0.751  0.770  0.760
Mn  0.500  0.000  0.000
O  0.452  0.962  0.251
O  0.023  0.250  0.459
O  0.548  0.038  0.749
Cr  0.000  0.000  0.000
O  0.037  0.458  0.750
O  0.538  0.539  0.249
O  0.251  0.472  0.042
Mn  0.000  0.500  0.000
Ca  0.250  0.237  0.731

Summary:
Its final energy is -7.252 eV/atom.